Computed, not measured: crystalline TlZnCd at its relaxed geometry at the PBE level of DFT.

Output
DFT total energy = -1.36 eV per atom
offset from the most stable computed form = 4.2 kJ/mol of atoms

Structure (POSCAR):
```
TlZnCd
1.0
0.000 2.604 7.673
1.819 0.000 7.673
1.819 2.604 0.000
Tl Zn Cd
1 1 1
direct
0.000 0.000 0.000
0.332 0.332 0.668
0.689 0.689 0.311
```

Computed, not measured: crystalline TlZn2Cd at its relaxed geometry at the PBE level of DFT.

Output
DFT total energy = -1.29 eV per atom
offset from the most stable computed form = 5.5 kJ/mol of atoms

Structure (POSCAR):
```
TlZn2Cd
1.0
4.799 0.000 0.000
0.000 4.799 0.000
0.000 0.000 3.808
Tl Zn Cd
1 2 1
direct
0.000 0.000 0.000
0.000 0.500 0.500
0.500 0.000 0.500
0.500 0.500 0.000
```

Computed, not measured: crystalline TlZn2Cd at its relaxed geometry at the PBE level of DFT.

Output
DFT total energy = -1.30 eV per atom
offset from the most stable computed form = 4.7 kJ/mol of atoms

Structure (POSCAR):
```
TlZn2Cd
1.0
1.691 0.977 8.767
-1.691 0.977 8.767
0.000 -1.953 8.767
Tl Zn Cd
1 2 1
direct
0.000 0.000 0.000
0.245 0.245 0.245
0.755 0.755 0.755
0.500 0.500 0.500
```

Computed, not measured: crystalline Tl2ZnCd at its relaxed geometry at the PBE level of DFT.

Output
DFT total energy = -1.62 eV per atom
offset from the most stable computed form = 2.8 kJ/mol of atoms

Structure (POSCAR):
```
Tl2ZnCd
1.0
-1.667 2.730 5.666
1.667 -2.730 5.666
1.667 2.730 -5.666
Tl Zn Cd
2 1 1
direct
0.000 0.000 0.000
0.715 0.215 0.500
0.483 0.483 0.000
0.276 0.776 0.500
```

Computed, not measured: crystalline TlZn3Cd9 at its relaxed geometry at the PBE level of DFT.

Output
DFT total energy = -1.07 eV per atom

Structure (POSCAR):
```
TlZn3Cd9
1.0
2.883 -7.046 0.000
2.883 7.046 0.000
-2.670 0.000 7.034
Tl Zn Cd
1 3 9
direct
0.000 0.000 0.000
0.000 0.500 0.000
0.500 0.000 0.000
0.500 0.500 0.500
0.000 0.000 0.500
0.009 0.656 0.659
0.295 0.515 0.786
0.344 0.991 0.341
0.485 0.705 0.214
0.515 0.295 0.786
0.656 0.009 0.659
0.705 0.485 0.214
0.991 0.344 0.341
```

Computed, not measured: crystalline Tl2ZnCd at its relaxed geometry at the PBE level of DFT.

Output
DFT total energy = -1.61 eV per atom
offset from the most stable computed form = 3.6 kJ/mol of atoms

Structure (POSCAR):
```
Tl2ZnCd
1.0
1.730 0.999 9.905
-1.730 0.999 9.905
0.000 -1.998 9.905
Tl Zn Cd
2 1 1
direct
0.243 0.243 0.243
0.757 0.757 0.757
0.500 0.500 0.500
0.000 0.000 0.000
```

Computed, not measured: crystalline TlZn2Cd at its relaxed geometry at the PBE level of DFT.

Output
DFT total energy = -1.30 eV per atom
offset from the most stable computed form = 4.5 kJ/mol of atoms

Structure (POSCAR):
```
TlZn2Cd
1.0
3.173 0.000 0.000
0.000 4.057 0.000
0.000 0.000 6.795
Tl Zn Cd
1 2 1
direct
0.000 0.000 0.000
0.500 0.500 0.288
0.500 0.500 0.712
0.000 0.000 0.500
```

Computed, not measured: crystalline TlZnCd2 at its relaxed geometry at the PBE level of DFT.

Output
DFT total energy = -1.21 eV per atom
offset from the most stable computed form = 8.2 kJ/mol of atoms

Structure (POSCAR):
```
TlZnCd2
1.0
0.000 3.633 3.633
3.633 0.000 3.633
3.633 3.633 0.000
Tl Zn Cd
1 1 2
direct
0.000 0.000 0.000
0.500 0.500 0.500
0.250 0.250 0.250
0.750 0.750 0.750
```

Computed, not measured: crystalline TlZnCd4 at its relaxed geometry at the PBE level of DFT.

Output
DFT total energy = -1.08 eV per atom
offset from the most stable computed form = 4.1 kJ/mol of atoms

Structure (POSCAR):
```
TlZnCd4
1.0
0.000 4.190 4.190
4.190 0.000 4.190
4.190 4.190 0.000
Tl Zn Cd
1 1 4
direct
0.000 0.000 0.000
0.750 0.750 0.750
0.375 0.375 0.375
0.375 0.375 0.874
0.375 0.874 0.375
0.874 0.375 0.375
```

Computed, not measured: crystalline Tl2ZnCd at its relaxed geometry at the PBE level of DFT.

Output
DFT total energy = -1.54 eV per atom
offset from the most stable computed form = 11.1 kJ/mol of atoms

Structure (POSCAR):
```
Tl2ZnCd
1.0
-2.256 2.256 10.789
2.256 -2.256 10.789
2.256 2.256 -10.789
Tl Zn Cd
4 2 2
direct
0.119 0.625 0.994
0.375 0.369 0.494
0.631 0.125 0.006
0.875 0.881 0.506
0.000 0.000 0.000
0.750 0.250 0.500
0.250 0.750 0.500
0.500 0.500 0.000
```

Computed, not measured: crystalline TlZnCd2 at its relaxed geometry at the PBE level of DFT.

Output
DFT total energy = -1.26 eV per atom
offset from the most stable computed form = 3.1 kJ/mol of atoms

Structure (POSCAR):
```
TlZnCd2
1.0
3.389 0.000 0.000
0.000 4.939 0.000
-1.674 0.000 5.684
Tl Zn Cd
1 1 2
direct
0.000 0.000 0.000
0.000 0.000 0.500
0.373 0.500 0.728
0.627 0.500 0.272
```

Computed, not measured: crystalline TlZn2Cd at its relaxed geometry at the PBE level of DFT.

Output
DFT total energy = -1.34 eV per atom
offset from the most stable computed form = 0.8 kJ/mol of atoms

Structure (POSCAR):
```
TlZn2Cd
1.0
1.667 0.963 8.995
-1.667 0.963 8.995
0.000 -1.925 8.995
Tl Zn Cd
1 2 1
direct
0.000 0.000 0.000
0.489 0.489 0.489
0.757 0.757 0.757
0.234 0.234 0.234
```

Computed, not measured: crystalline TlZnCd2 at its relaxed geometry at the PBE level of DFT.

Output
DFT total energy = -1.23 eV per atom
offset from the most stable computed form = 6.1 kJ/mol of atoms

Structure (POSCAR):
```
TlZnCd2
1.0
2.955 -5.012 0.000
2.955 5.012 0.000
-0.776 0.000 3.260
Tl Zn Cd
1 1 2
direct
0.000 0.000 0.000
0.500 0.500 0.000
0.000 0.500 0.500
0.500 0.000 0.500
```

Computed, not measured: crystalline TlZnCd2 at its relaxed geometry at the PBE level of DFT.

Output
DFT total energy = -1.29 eV per atom
offset from the most stable computed form = 0.5 kJ/mol of atoms

Structure (POSCAR):
```
TlZnCd2
1.0
1.706 0.985 9.327
-1.706 0.985 9.327
0.000 -1.970 9.327
Tl Zn Cd
1 1 2
direct
0.000 0.000 0.000
0.500 0.500 0.500
0.239 0.239 0.239
0.761 0.761 0.761
```

Computed, not measured: crystalline TlZnCd2 at its relaxed geometry at the PBE level of DFT.

Output
DFT total energy = -1.29 eV per atom
offset from the most stable computed form = 0.0 kJ/mol of atoms

Structure (POSCAR):
```
TlZnCd2
1.0
2.292 -2.433 0.000
2.292 2.433 0.000
0.000 0.000 8.339
Tl Zn Cd
1 1 2
direct
0.000 0.000 0.000
0.000 0.000 0.500
0.500 0.500 0.293
0.500 0.500 0.707
```

Computed, not measured: crystalline TlZn2Cd at its relaxed geometry at the PBE level of DFT.

Output
DFT total energy = -1.34 eV per atom
offset from the most stable computed form = 0.0 kJ/mol of atoms

Structure (POSCAR):
```
TlZn2Cd
1.0
3.268 0.000 0.000
0.000 3.268 0.000
0.000 0.000 8.045
Tl Zn Cd
1 2 1
direct
0.000 0.000 0.000
0.000 0.000 0.457
0.500 0.500 0.283
0.500 0.500 0.687
```

Computed, not measured: crystalline TlZnCd2 at its relaxed geometry at the PBE level of DFT.

Output
DFT total energy = -1.24 eV per atom
offset from the most stable computed form = 4.9 kJ/mol of atoms

Structure (POSCAR):
```
TlZnCd2
1.0
0.000 3.618 3.618
3.618 0.000 3.618
3.618 3.618 0.000
Tl Zn Cd
1 1 2
direct
0.000 0.000 0.000
0.250 0.250 0.250
0.500 0.500 0.500
0.750 0.750 0.750
```

Computed, not measured: crystalline TlZn2Cd at its relaxed geometry at the PBE level of DFT.

Output
DFT total energy = -1.26 eV per atom
offset from the most stable computed form = 8.1 kJ/mol of atoms

Structure (POSCAR):
```
TlZn2Cd
1.0
0.000 3.529 3.529
3.529 0.000 3.529
3.529 3.529 0.000
Tl Zn Cd
1 2 1
direct
0.000 0.000 0.000
0.250 0.250 0.250
0.500 0.500 0.500
0.750 0.750 0.750
```

Computed, not measured: crystalline Tl2ZnCd at its relaxed geometry at the PBE level of DFT.

Output
DFT total energy = -1.59 eV per atom
offset from the most stable computed form = 5.9 kJ/mol of atoms

Structure (POSCAR):
```
Tl2ZnCd
1.0
-2.243 2.243 5.144
2.243 -2.243 5.144
2.243 2.243 -5.144
Tl Zn Cd
2 1 1
direct
0.000 0.000 0.000
0.750 0.250 0.500
0.250 0.750 0.500
0.500 0.500 0.000
```

Computed, not measured: crystalline Tl2ZnCd at its relaxed geometry at the PBE level of DFT.

Output
DFT total energy = -1.60 eV per atom
offset from the most stable computed form = 4.8 kJ/mol of atoms

Structure (POSCAR):
```
Tl2ZnCd
1.0
3.406 0.000 0.000
0.000 4.911 0.000
-0.422 0.000 6.228
Tl Zn Cd
2 1 1
direct
0.163 0.000 0.260
0.837 0.000 0.740
0.500 0.500 0.500
0.500 0.500 0.000
```